Here is a crystal of Zn3Cd relaxed with PBEsol from the Alexandria database. Energies are from meta-GGA SCAN.

Computed properties:
* formation enthalpy at 0 K: 110.5 meV per atom
* density of states at the Fermi level: 1.06 states/eV/f.u.
* space-group type: I4/mmm, No. 139

POSCAR file:
```
Zn3Cd
1.0
3.976 0.000 0.000
0.000 3.976 0.000
-1.988 -1.988 4.036
Cd Zn
1 3
Direct
0.000 0.000 0.000 Cd
0.500 0.500 0.000 Zn
0.750 0.250 0.500 Zn
0.250 0.750 0.500 Zn
```